This record from Alexandria via LeMat-Bulk describes a relaxed structure of PHOsO2. The functional is PBE.

Calculated values
As for the energy above the most stable polymorph in this dataset: 0 meV/atom.

a = 3.691 Å, b = 3.691 Å, c = 5.106 Å
α = 90.00°, β = 90.00°, γ = 90.00°
Fractional positions:
1 P 0.000 0.000 0.000
2 H 0.500 0.500 0.000
3 Os 0.000 0.000 0.500
4 O 0.000 0.500 0.500
5 O 0.500 0.000 0.500